Record 1
# PBE NbAl3Ni4, relaxed
# Volume: 12.87 A^3/atom
# Calculated formation energy: -0.509 eV/atom
# E_tot: -145.475 eV for the cell shown
# Total moment: 0.0 μB/f.u.
data_NbAl3Ni4
_chemical_formula_sum 'Nb3 Al9 Ni12'
_cell_length_a 4.1391
_cell_length_b 4.1391
_cell_length_c 20.8233
_cell_angle_alpha 90.00
_cell_angle_beta 90.00
_cell_angle_gamma 120.00
_space_group_name_H-M_alt 'R -3 m'
_space_group_IT_number 166
_space_group_name_Hall '-R 3 2"'
loop_
_atom_site_label
_atom_site_type_symbol
_atom_site_fract_x
_atom_site_fract_y
_atom_site_fract_z
Nb1 Nb 0.0000 0.0000 0.0000
Al1 Al 0.0000 0.0000 0.2492
Al2 Al 0.0000 0.0000 0.5000
Ni1 Ni 0.0000 0.0000 0.1256
Ni2 Ni 0.0000 0.0000 0.3813

Record 2
# PBE NbAl2Ni9, relaxed
# Volume: 11.69 A^3/atom
# Calculated formation energy: -0.412 eV/atom
# E_tot: -74.527 eV for the cell shown
# Total moment: 0.0 μB/f.u.
data_NbAl2Ni9
_chemical_formula_sum 'Nb1 Al2 Ni9'
_cell_length_a 3.6176
_cell_length_b 3.6176
_cell_length_c 10.7154
_cell_angle_alpha 90.00
_cell_angle_beta 90.00
_cell_angle_gamma 90.00
_space_group_name_H-M_alt 'P 4/m m m'
_space_group_IT_number 123
_space_group_name_Hall '-P 4 2'
loop_
_atom_site_label
_atom_site_type_symbol
_atom_site_fract_x
_atom_site_fract_y
_atom_site_fract_z
Nb1 Nb 0.0000 0.0000 0.0000
Al1 Al 0.0000 0.0000 0.3394
Ni1 Ni 0.0000 0.5000 0.1720
Ni2 Ni 0.0000 0.5000 0.5000
Ni3 Ni 0.5000 0.5000 0.0000
Ni4 Ni 0.5000 0.5000 0.3367

Record 3
# PBE Nb3AlNi, relaxed
# Volume: 19.67 A^3/atom
# Calculated formation energy: 0.659 eV/atom
# E_tot: -36.436 eV for the cell shown
# Total moment: 0.0 μB/f.u.
data_Nb3AlNi
_chemical_formula_sum 'Nb3 Al1 Ni1'
_cell_length_a 4.6162
_cell_length_b 4.6162
_cell_length_c 4.6162
_cell_angle_alpha 90.00
_cell_angle_beta 90.00
_cell_angle_gamma 90.00
_space_group_name_H-M_alt 'P m -3 m'
_space_group_IT_number 221
_space_group_name_Hall '-P 4 2 3'
loop_
_atom_site_label
_atom_site_type_symbol
_atom_site_fract_x
_atom_site_fract_y
_atom_site_fract_z
Nb1 Nb 0.0000 0.0000 0.5000
Al1 Al 0.5000 0.5000 0.5000
Ni1 Ni 0.0000 0.0000 0.0000